Li3As3Au2, optimized geometry, DFT PBE-GGA; crystal system = orthorhombic; space group = Cmcm, No. 63; M_tot = 0.000 μB per cell; ΔH_f (0 K) = -0.41 eV per atom
1.0
2.0325 -4.7023 0.0000
2.0325 4.7023 0.0000
0.0000 0.0000 15.8718
Li As Au
6 6 4
Direct
0.0258 0.9742 0.7500
0.2127 0.7873 0.1182
0.2127 0.7873 0.3818
0.7873 0.2127 0.6182
0.7873 0.2127 0.8818
0.9742 0.0258 0.2500
0.0956 0.9044 0.5529
0.0956 0.9044 0.9471
0.3101 0.6899 0.7500
0.6899 0.3101 0.2500
0.9044 0.0956 0.0529
0.9044 0.0956 0.4471
0.4908 0.5092 0.6332
0.4908 0.5092 0.8668
0.5092 0.4908 0.1332
0.5092 0.4908 0.3668